1.
NdTm2Zr after structural relaxation, computed with GGA-PBE.

Properties
- symmetry = R-3m
- excess energy over the best structure of this formula in the dataset (meV/atom) = 1
- formation energy from the elements (eV per atom) = 0.075

POSCAR file:
```
NdTm2Zr
1.0
1.721 0.994 11.305
-1.721 0.994 11.305
0.000 -1.988 11.305
Nd Tm Zr
1 2 1
direct
0.000 0.000 0.000
0.244 0.244 0.244
0.756 0.756 0.756
0.500 0.500 0.500
```


2.
Nd3Tm12Zr after structural relaxation, computed with GGA-PBE.

Properties
- symmetry = P4/mmm
- formation energy from the elements (eV per atom) = 0.039

POSCAR file:
```
Nd3Tm12Zr
1.0
4.946 0.000 0.000
0.000 4.946 0.000
0.000 0.000 19.873
Nd Tm Zr
3 12 1
direct
0.000 0.000 0.000
0.000 0.000 0.252
0.000 0.000 0.748
0.000 0.500 0.127
0.000 0.500 0.384
0.000 0.500 0.616
0.000 0.500 0.873
0.500 0.000 0.127
0.500 0.000 0.384
0.500 0.000 0.616
0.500 0.000 0.873
0.500 0.500 0.000
0.500 0.500 0.255
0.500 0.500 0.500
0.500 0.500 0.745
0.000 0.000 0.500
```


3.
Nd12Tm6Zr after structural relaxation, computed with GGA-PBE.

Properties
- symmetry = R-3
- formation energy from the elements (eV per atom) = 0.039

POSCAR file:
```
Nd12Tm6Zr
1.0
7.828 4.519 2.930
-7.828 4.519 2.930
0.000 -9.039 2.930
Nd Tm Zr
12 6 1
direct
0.059 0.375 0.584
0.102 0.742 0.154
0.154 0.102 0.742
0.258 0.846 0.898
0.375 0.584 0.059
0.416 0.941 0.625
0.584 0.059 0.375
0.625 0.416 0.941
0.742 0.154 0.102
0.846 0.898 0.258
0.898 0.258 0.846
0.941 0.625 0.416
0.211 0.463 0.312
0.312 0.211 0.463
0.463 0.312 0.211
0.537 0.688 0.789
0.688 0.789 0.537
0.789 0.537 0.688
0.000 0.000 0.000
```


4.
NdTm3Zr after structural relaxation, computed with GGA-PBE.

Properties
- symmetry = C2/m
- excess energy over the best structure of this formula in the dataset (meV/atom) = 0
- formation energy from the elements (eV per atom) = 0.047

POSCAR file:
```
NdTm3Zr
1.0
6.330 -1.748 0.000
6.330 1.748 0.000
-1.006 0.000 13.377
Nd Tm Zr
2 6 2
direct
0.163 0.163 0.412
0.837 0.837 0.588
0.031 0.031 0.167
0.233 0.233 0.799
0.429 0.429 0.376
0.571 0.571 0.624
0.767 0.767 0.201
0.969 0.969 0.833
0.360 0.360 0.015
0.640 0.640 0.985
```


5.
Nd14TmZr after structural relaxation, computed with GGA-PBE.

Properties
- symmetry = P4/mmm
- formation energy from the elements (eV per atom) = 0.047

POSCAR file:
```
Nd14TmZr
1.0
7.269 0.000 0.000
0.000 7.269 0.000
0.000 0.000 10.282
Nd Tm Zr
14 1 1
direct
0.000 0.000 0.000
0.000 0.500 0.000
0.000 0.500 0.500
0.245 0.245 0.258
0.245 0.245 0.742
0.245 0.755 0.258
0.245 0.755 0.742
0.500 0.000 0.000
0.500 0.000 0.500
0.500 0.500 0.000
0.755 0.245 0.258
0.755 0.245 0.742
0.755 0.755 0.258
0.755 0.755 0.742
0.500 0.500 0.500
0.000 0.000 0.500
```


6.
Nd2Tm6Zr after structural relaxation, computed with GGA-PBE.

Properties
- symmetry = P6/mmm
- formation energy from the elements (eV per atom) = 0.114

POSCAR file:
```
Nd2Tm6Zr
1.0
9.576 0.000 0.000
-4.788 8.293 0.000
0.000 0.000 3.396
Nd Tm Zr
2 6 1
direct
0.333 0.667 0.000
0.667 0.333 0.000
0.000 0.324 0.500
0.000 0.676 0.500
0.324 0.000 0.500
0.324 0.324 0.500
0.676 0.000 0.500
0.676 0.676 0.500
0.000 0.000 0.000
```


Per-record electronic total energy, eV/atom: -5.49, -4.74, -4.83, -5.30, -4.94, -4.88